Record 1
The following is a DFT calculation (SCAN) of BaYZn3GaO7 at its PBEsol-relaxed geometry.

a = 6.3239 Å, b = 6.3239 Å, c = 10.2979 Å
α = 90.00°, β = 90.00°, γ = 120.00°
Fractional positions:
Ba: 0.3333 0.6667 0.0000
Ba: 0.6667 0.3333 0.5000
Y: 0.3333 0.6667 0.3483
Y: 0.6667 0.3333 0.8483
Zn: 0.1711 0.3422 0.6632
Zn: 0.1711 0.8289 0.6632
Zn: 0.3422 0.1711 0.1632
Zn: 0.6578 0.8289 0.6632
Zn: 0.8289 0.1711 0.1632
Zn: 0.8289 0.6578 0.1632
Ga: 0.0000 0.0000 0.4127
Ga: 0.0000 0.0000 0.9127
O: 0.0000 0.0000 0.2309
O: 0.0000 0.0000 0.7309
O: 0.0163 0.5082 0.2136
O: 0.1597 0.3194 0.4704
O: 0.1597 0.8403 0.4704
O: 0.3194 0.1597 0.9704
O: 0.4918 0.5082 0.2136
O: 0.4918 0.9837 0.2136
O: 0.5082 0.0163 0.7136
O: 0.5082 0.4918 0.7136
O: 0.6806 0.8403 0.4704
O: 0.8403 0.1597 0.9704
O: 0.8403 0.6806 0.9704
O: 0.9837 0.4918 0.7136

volume: 13.72 Å³ per atom
raw total energy: -15.323 eV/atom
crystal system: hexagonal
N(E_F): 0.000 states/eV/atom
ρ: 5.6 Mg/m³
E_form (uncorrected): -2.4077 eV per atom
magnetic moment: 0.00 μB/f.u.



Record 2
The following is a DFT calculation (SCAN) of BaGa3P at its PBEsol-relaxed geometry.

a = 5.7214 Å, b = 5.7214 Å, c = 5.7214 Å
α = 90.00°, β = 90.00°, γ = 90.00°
Fractional positions:
Ba: 0.0000 0.0000 0.0000
Ga: 0.0000 0.0000 0.5000
Ga: 0.0000 0.5000 0.0000
Ga: 0.5000 0.0000 0.0000
P: 0.5000 0.5000 0.5000

volume: 37.46 Å³ per atom
raw total energy: -18.312 eV/atom
crystal system: cubic
N(E_F): 0.629 states/eV/atom
polymorph energy (0 for the lowest one): 1442 meV per atom
formation enthalpy at 0 K: 1.485 eV/atom
ρ: 3.3 Mg/m³
magnetic moment: 0.00 μB/f.u.



Record 3
The following is a DFT calculation (SCAN) of BaGaP3 at its PBEsol-relaxed geometry.

a = 5.5406 Å, b = 5.5406 Å, c = 5.5406 Å
α = 90.00°, β = 90.00°, γ = 90.00°
Fractional positions:
Ba: 0.0000 0.0000 0.0000
Ga: 0.5000 0.5000 0.5000
P: 0.0000 0.0000 0.5000
P: 0.0000 0.5000 0.0000
P: 0.5000 0.0000 0.0000

volume: 34.02 Å³ per atom
raw total energy: -15.938 eV/atom
crystal system: cubic
N(E_F): 1.165 states/eV/atom
formation enthalpy at 0 K: 1.481 eV/atom
ρ: 2.9 Mg/m³
magnetic moment: 0.01 μB/f.u.



Record 4
The following is a DFT calculation (SCAN) of BaGa3P at its PBEsol-relaxed geometry.

a = 4.9795 Å, b = 4.9795 Å, c = 4.9795 Å
α = 90.00°, β = 90.00°, γ = 90.00°
Fractional positions:
Ba: 0.0000 0.0000 0.0000
Ga: 0.0000 0.5000 0.5000
Ga: 0.5000 0.0000 0.5000
Ga: 0.5000 0.5000 0.0000
P: 0.5000 0.5000 0.5000

volume: 24.69 Å³ per atom
raw total energy: -19.754 eV/atom
crystal system: cubic
N(E_F): 0.657 states/eV/atom
polymorph energy (0 for the lowest one): 0 meV per atom
formation enthalpy at 0 K: 0.043 eV/atom
ρ: 5.1 Mg/m³
magnetic moment: 0.00 μB/f.u.



Record 5
The following is a DFT calculation (SCAN) of BaGa2P2 at its PBEsol-relaxed geometry.

a = 4.4053 Å, b = 4.4053 Å, c = 11.4377 Å
α = 90.00°, β = 90.00°, γ = 90.00°
Fractional positions:
Ba: 0.0000 0.0000 0.0000
Ba: 0.5000 0.5000 0.5000
Ga: 0.0000 0.5000 0.2500
Ga: 0.0000 0.5000 0.7500
Ga: 0.5000 0.0000 0.2500
Ga: 0.5000 0.0000 0.7500
P: 0.0000 0.0000 0.4031
P: 0.0000 0.0000 0.5969
P: 0.5000 0.5000 0.0969
P: 0.5000 0.5000 0.9031

volume: 22.20 Å³ per atom
raw total energy: -18.939 eV/atom
crystal system: tetragonal
N(E_F): 0.388 states/eV/atom
formation enthalpy at 0 K: -0.330 eV/atom
ρ: 5.1 Mg/m³
magnetic moment: 0.00 μB/f.u.



Record 6
The following is a DFT calculation (SCAN) of Ba3GaPd at its PBEsol-relaxed geometry.

a = 5.9734 Å, b = 5.9734 Å, c = 5.9734 Å
α = 90.00°, β = 90.00°, γ = 90.00°
Fractional positions:
Ba: 0.0000 0.0000 0.5000
Ba: 0.0000 0.5000 0.0000
Ba: 0.5000 0.0000 0.0000
Ga: 0.5000 0.5000 0.5000
Pd: 0.0000 0.0000 0.0000

volume: 42.63 Å³ per atom
raw total energy: -33.728 eV/atom
crystal system: cubic
N(E_F): 1.184 states/eV/atom
formation enthalpy at 0 K: -0.174 eV/atom
ρ: 4.6 Mg/m³
magnetic moment: 0.10 μB/f.u.



The lowest raw total energy belongs to which entry? Ba3GaPd



Which of these has the lowest volume? BaYZn3GaO7



Which value of ρ does entry 3 give? 2.9 Mg/m³



Number 3 is which compound? BaGaP3